## A
# PBE NaAc2Ge2, optimized geometry
# Fermi-level density of states: 2.3 states/eV/f.u.
data_NaAc2Ge2
_chemical_formula_sum 'Na4 Ac8 Ge8'
_cell_length_a 11.433
_cell_length_b 6.179
_cell_length_c 8.792
_cell_angle_alpha 90.00
_cell_angle_beta 105.61
_cell_angle_gamma 90.00
_space_group_name_H-M_alt 'C 1 2/c 1'
_space_group_IT_number 15
loop_
_space_group_symop_operation_xyz
'x,y,z'
'-x,-y,-z'
'-x,y,-z+1/2'
'x,-y,z+1/2'
'x+1/2,y+1/2,z'
'-x+1/2,-y+1/2,-z'
'-x+1/2,y+1/2,-z+1/2'
'x+1/2,-y+1/2,z+1/2'
loop_
_atom_site_label
_atom_site_fract_x
_atom_site_fract_y
_atom_site_fract_z
_atom_site_occupancy
Na1 0.000 0.142 0.250 1
Ac1 0.145 0.340 0.646 1
Ge1 0.150 0.155 0.002 1

## B
# PBE NaAc2Ge2, optimized geometry
# Fermi-level density of states: 4.8 states/eV/f.u.
data_NaAc2Ge2
_chemical_formula_sum 'Na2 Ac4 Ge4'
_cell_length_a 8.190
_cell_length_b 8.190
_cell_length_c 4.531
_cell_angle_alpha 90.00
_cell_angle_beta 90.00
_cell_angle_gamma 90.00
_space_group_name_H-M_alt 'P 4/m b m'
_space_group_IT_number 127
_space_group_name_Hall '-P 4 2ab'
loop_
_atom_site_label
_atom_site_fract_x
_atom_site_fract_y
_atom_site_fract_z
_atom_site_occupancy
Na1 0.000 0.000 0.000 1
Ac1 0.181 0.319 0.500 1
Ge1 0.113 0.613 0.000 1

The data favor B; the next most stable structure lies 57 meV per atom above it.

## A
# PBE NaAcGe, optimized geometry
# Fermi-level density of states: 0.4 states/eV/f.u.
data_NaAcGe
_chemical_formula_sum 'Na4 Ac4 Ge4'
_cell_length_a 7.370
_cell_length_b 7.370
_cell_length_c 7.370
_cell_angle_alpha 90.00
_cell_angle_beta 90.00
_cell_angle_gamma 90.00
_space_group_name_H-M_alt 'F -4 3 m'
_space_group_IT_number 216
_space_group_name_Hall 'F -4 2 3'
loop_
_atom_site_label
_atom_site_fract_x
_atom_site_fract_y
_atom_site_fract_z
_atom_site_occupancy
Na1 0.000 0.000 0.000 1
Ac1 0.000 0.000 0.500 1
Ge1 0.250 0.250 0.750 1

## B
# PBE NaAcGe, optimized geometry
# Fermi-level density of states: 2.2 states/eV/f.u.
data_NaAcGe
_chemical_formula_sum 'Na4 Ac4 Ge4'
_cell_length_a 11.456
_cell_length_b 4.724
_cell_length_c 8.198
_cell_angle_alpha 90.00
_cell_angle_beta 121.44
_cell_angle_gamma 90.00
_space_group_name_H-M_alt 'C 1 2/m 1'
_space_group_IT_number 12
loop_
_space_group_symop_operation_xyz
'x,y,z'
'-x,-y,-z'
'-x,y,-z'
'x,-y,z'
'x+1/2,y+1/2,z'
'-x+1/2,-y+1/2,-z'
'-x+1/2,y+1/2,-z'
'x+1/2,-y+1/2,z'
loop_
_atom_site_label
_atom_site_fract_x
_atom_site_fract_y
_atom_site_fract_z
_atom_site_occupancy
Na1 0.191 0.000 0.082 1
Ac1 0.074 0.500 0.333 1
Ge1 0.132 0.000 0.633 1

The data favor A; the next most stable structure lies 48 meV per atom above it.

## A
# PBE NaAcGe, optimized geometry
# Fermi-level density of states: 1.0 states/eV/f.u.
data_NaAcGe
_chemical_formula_sum 'Na2 Ac2 Ge2'
_cell_length_a 4.631
_cell_length_b 4.631
_cell_length_c 8.384
_cell_angle_alpha 90.00
_cell_angle_beta 90.00
_cell_angle_gamma 90.00
_space_group_name_H-M_alt 'P 4/n m m'
_space_group_IT_number 129
loop_
_space_group_symop_operation_xyz
'x,y,z'
'-x,-y,-z'
'-y+1/2,x,z'
'y+1/2,-x,-z'
'-x+1/2,-y+1/2,z'
'x+1/2,y+1/2,-z'
'y,-x+1/2,z'
'-y,x+1/2,-z'
'x+1/2,-y,-z'
'-x+1/2,y,z'
'-y,-x,-z'
'y,x,z'
'-x,y+1/2,-z'
'x,-y+1/2,z'
'y+1/2,x+1/2,-z'
'-y+1/2,-x+1/2,z'
loop_
_atom_site_label
_atom_site_fract_x
_atom_site_fract_y
_atom_site_fract_z
_atom_site_occupancy
Na1 0.250 0.750 0.000 1
Ac1 0.250 0.250 0.351 1
Ge1 0.250 0.250 0.733 1

## B
# PBE NaAcGe, optimized geometry
# Fermi-level density of states: 0.7 states/eV/f.u.
data_NaAcGe
_chemical_formula_sum 'Na2 Ac2 Ge2'
_cell_length_a 5.5407
_cell_length_b 5.5407
_cell_length_c 6.6839
_cell_angle_alpha 90.00
_cell_angle_beta 90.00
_cell_angle_gamma 120.00
_space_group_name_H-M_alt 'P 63/m m c'
_space_group_IT_number 194
_space_group_name_Hall '-P 6c 2c'
loop_
_atom_site_label
_atom_site_fract_x
_atom_site_fract_y
_atom_site_fract_z
_atom_site_occupancy
Na1 0.0000 0.0000 0.0000 1
Ac1 0.3333 0.6667 0.2500 1
Ge1 0.3333 0.6667 0.7500 1

## C
# PBE NaAcGe, optimized geometry
# Fermi-level density of states: 0.6 states/eV/f.u.
data_NaAcGe
_chemical_formula_sum 'Na1 Ac1 Ge1'
_cell_length_a 4.9644
_cell_length_b 4.9644
_cell_length_c 4.1794
_cell_angle_alpha 90.00
_cell_angle_beta 90.00
_cell_angle_gamma 120.00
_space_group_name_H-M_alt 'P 3 m 1'
_space_group_IT_number 156
loop_
_space_group_symop_operation_xyz
'x,y,z'
'-y,x-y,z'
'-x+y,-x,z'
'-y,-x,z'
'-x+y,y,z'
'x,x-y,z'
loop_
_atom_site_label
_atom_site_fract_x
_atom_site_fract_y
_atom_site_fract_z
_atom_site_occupancy
Na1 0.0000 0.0000 0.0000 1
Ac1 0.6667 0.3333 0.5084 1
Ge1 0.3333 0.6667 0.1303 1

The data favor B; the next most stable structure lies 28 meV per atom above it.

## A
# PBE AcNbGe2, optimized geometry
# Fermi-level density of states: 3.1 states/eV/f.u.
data_AcNbGe2
_chemical_formula_sum 'Ac1 Nb1 Ge2'
_cell_length_a 3.590
_cell_length_b 3.590
_cell_length_c 6.848
_cell_angle_alpha 90.00
_cell_angle_beta 90.00
_cell_angle_gamma 90.00
_space_group_name_H-M_alt 'P 4/m m m'
_space_group_IT_number 123
_space_group_name_Hall '-P 4 2'
loop_
_atom_site_label
_atom_site_fract_x
_atom_site_fract_y
_atom_site_fract_z
_atom_site_occupancy
Ac1 0.000 0.000 0.000 1
Nb1 0.000 0.000 0.500 1
Ge1 0.500 0.500 0.312 1

## B
# PBE AcNbGe2, optimized geometry
# Fermi-level density of states: 1.3 states/eV/f.u.
data_AcNbGe2
_chemical_formula_sum 'Ac3 Nb3 Ge6'
_cell_length_a 4.0481
_cell_length_b 4.0481
_cell_length_c 20.8048
_cell_angle_alpha 90.00
_cell_angle_beta 90.00
_cell_angle_gamma 120.00
_space_group_name_H-M_alt 'R -3 m'
_space_group_IT_number 166
_space_group_name_Hall '-R 3 2"'
loop_
_atom_site_label
_atom_site_fract_x
_atom_site_fract_y
_atom_site_fract_z
_atom_site_occupancy
Ac1 0.0000 0.0000 0.0000 1
Nb1 0.0000 0.0000 0.5000 1
Ge1 0.0000 0.0000 0.2309 1

The data favor B; the next most stable structure lies 56 meV per atom above it.

## A
# PBE AcNbGe, optimized geometry
# Fermi-level density of states: 1.9 states/eV/f.u.
data_AcNbGe
_chemical_formula_sum 'Ac2 Nb2 Ge2'
_cell_length_a 4.158
_cell_length_b 4.158
_cell_length_c 9.046
_cell_angle_alpha 90.00
_cell_angle_beta 90.00
_cell_angle_gamma 90.00
_space_group_name_H-M_alt 'P 4/n m m'
_space_group_IT_number 129
loop_
_space_group_symop_operation_xyz
'x,y,z'
'-x,-y,-z'
'-y+1/2,x,z'
'y+1/2,-x,-z'
'-x+1/2,-y+1/2,z'
'x+1/2,y+1/2,-z'
'y,-x+1/2,z'
'-y,x+1/2,-z'
'x+1/2,-y,-z'
'-x+1/2,y,z'
'-y,-x,-z'
'y,x,z'
'-x,y+1/2,-z'
'x,-y+1/2,z'
'y+1/2,x+1/2,-z'
'-y+1/2,-x+1/2,z'
loop_
_atom_site_label
_atom_site_fract_x
_atom_site_fract_y
_atom_site_fract_z
_atom_site_occupancy
Ac1 0.250 0.250 0.160 1
Nb1 0.250 0.750 0.500 1
Ge1 0.250 0.250 0.701 1

## B
# PBE AcNbGe, optimized geometry
# Fermi-level density of states: 3.6 states/eV/f.u.
data_AcNbGe
_chemical_formula_sum 'Ac4 Nb4 Ge4'
_cell_length_a 4.198
_cell_length_b 16.732
_cell_length_c 4.999
_cell_angle_alpha 90.00
_cell_angle_beta 90.00
_cell_angle_gamma 90.00
_space_group_name_H-M_alt 'C m c m'
_space_group_IT_number 63
_space_group_name_Hall '-C 2c 2'
loop_
_atom_site_label
_atom_site_fract_x
_atom_site_fract_y
_atom_site_fract_z
_atom_site_occupancy
Ac1 0.000 0.159 0.250 1
Nb1 0.000 0.500 0.000 1
Ge1 0.000 0.355 0.250 1

The data favor A; the next most stable structure lies 445 meV per atom above it.